Record 1
Here is a relaxed Ca2Pm6Sm5 crystal from Alexandria via LeMat-Bulk. Energies are from PBE-GGA.

Cell: 3.6150 12.2002 20.8146 Å, 90.00 90.00 90.00°
Last column: nearest neighbours and their distance in Å.
Sites, in units of the cell vectors:
Sm1 0.5000 0.4037 0.7189  5 Pm 3.35-3.51, 2 Sm 3.62, 4 Ca 3.65-3.70
Ca1 0.0000 0.6639 0.7156  2 Ca 3.62, 4 Pm 3.62-3.90, 6 Sm 3.65-3.91
Ca2 0.0000 0.3361 0.2844  2 Ca 3.62, 4 Pm 3.62-3.90, 6 Sm 3.65-3.91
Pm1 0.0000 0.9487 0.9231  5 Pm 3.44-3.78, 6 Sm 3.51-3.74
Ca3 0.0000 0.1639 0.7844  2 Ca 3.62, 4 Pm 3.62-3.90, 6 Sm 3.65-3.91
Pm2 0.0000 0.0513 0.0769  5 Pm 3.44-3.78, 6 Sm 3.51-3.74
Pm3 0.0000 0.5513 0.4231  5 Pm 3.44-3.78, 6 Sm 3.51-3.74
Pm4 0.0000 0.0701 0.3616  6 Sm 3.49-3.73, 4 Pm 3.62-3.64, 1 Ca 3.62
Pm5 0.5000 0.6867 0.8798  2 Sm 3.35-3.38, 4 Pm 3.62-3.64
Sm2 0.5000 0.0000 0.5000  6 Pm 3.38-3.51, 4 Sm 3.62-3.72
Ca4 0.0000 0.8361 0.2156  2 Ca 3.62, 4 Pm 3.62-3.90, 6 Sm 3.65-3.91
Sm3 0.5000 0.0963 0.2189  5 Pm 3.35-3.51, 2 Sm 3.62, 4 Ca 3.65-3.70
Pm6 0.0000 0.5701 0.1384  6 Sm 3.49-3.73, 4 Pm 3.62-3.64, 1 Ca 3.62
Sm4 0.5000 0.2081 0.9490  3 Sm 3.62-3.72, 7 Pm 3.68-3.79, 2 Ca 3.91
Pm7 0.0000 0.4299 0.8616  6 Sm 3.49-3.73, 4 Pm 3.62-3.64, 1 Ca 3.62
Pm8 0.5000 0.3133 0.1202  2 Sm 3.35-3.38, 4 Pm 3.62-3.64
Pm9 0.0000 0.4487 0.5769  5 Pm 3.44-3.78, 6 Sm 3.51-3.74
Pm10 0.5000 0.8133 0.3798  2 Sm 3.35-3.38, 4 Pm 3.62-3.64
Pm11 0.0000 0.9299 0.6384  6 Sm 3.49-3.73, 4 Pm 3.62-3.64, 1 Ca 3.62
Sm5 0.5000 0.2919 0.4490  3 Sm 3.62-3.72, 7 Pm 3.68-3.79, 2 Ca 3.91
Sm6 0.5000 0.7081 0.5510  3 Sm 3.62-3.72, 7 Pm 3.68-3.79, 2 Ca 3.91
Sm7 0.5000 0.5963 0.2811  5 Pm 3.35-3.51, 2 Sm 3.62, 4 Ca 3.65-3.70
Sm8 0.5000 0.5000 0.0000  6 Pm 3.38-3.51, 4 Sm 3.62-3.72
Sm9 0.5000 0.9037 0.7811  5 Pm 3.35-3.51, 2 Sm 3.62, 4 Ca 3.65-3.70
Pm12 0.5000 0.1867 0.6202  2 Sm 3.35-3.38, 4 Pm 3.62-3.64
Sm10 0.5000 0.7919 0.0510  3 Sm 3.62-3.72, 7 Pm 3.68-3.79, 2 Ca 3.91

Computed properties:
Formation energy from the elements   12 kJ/mol of atoms
M_tot   0.000 μB per atom
N(E_F)   1.535 states/eV per atom

Record 2
Here is a relaxed Ca2Pm8Sm3 crystal from Alexandria via LeMat-Bulk. Energies are from PBE-GGA.

Cell: 6.4763 7.8918 10.0585 Å, 113.10 78.94 90.00°
Last column: nearest neighbours and their distance in Å.
Sites, in units of the cell vectors:
Pm1 0.2917 0.5490 0.0980  3 Pm 2.92-3.20, 2 Sm 3.26
Ca1 0.2722 0.3488 0.6976  12 Pm 3.71-3.97, 2 Sm 3.80
Pm2 0.2158 0.9585 0.3526  3 Pm 3.20-3.51
Sm1 0.0000 0.7978 0.0000  1 Sm 3.19, 2 Pm 3.26
Pm3 0.7083 0.4510 0.9020  3 Pm 2.92-3.20, 2 Sm 3.26
Sm2 0.5000 0.0000 0.0000  4 Sm 3.61, 6 Pm 3.77-3.81
Pm4 0.2158 0.3941 0.3526  3 Pm 3.20-3.51
Pm5 0.7842 0.6059 0.6474  3 Pm 3.20-3.51
Sm3 0.0000 0.2022 0.0000  1 Sm 3.19, 2 Pm 3.26
Pm6 0.7170 0.1736 0.3473  6 Pm 3.66-3.67, 3 Sm 3.71-3.77, 3 Ca 3.86-3.97
Ca2 0.7278 0.6512 0.3024  12 Pm 3.71-3.97, 2 Sm 3.80
Pm7 0.7842 0.0415 0.6474  3 Pm 3.20-3.51
Pm8 0.2830 0.8264 0.6527  6 Pm 3.66-3.67, 3 Sm 3.71-3.77, 3 Ca 3.86-3.97

Computed properties:
Formation energy from the elements   19 kJ/mol of atoms
M_tot   0.000 μB per atom
N(E_F)   1.268 states/eV per atom

Record 3
Here is a relaxed Ca2Pm5Sm4 crystal from Alexandria via LeMat-Bulk. Energies are from PBE-GGA.

Cell: 9.7092 9.7193 15.5437 Å, 36.84 152.93 141.67°
Last column: nearest neighbours and their distance in Å.
Sites, in units of the cell vectors:
Ca1 0.0515 0.9115 0.6850  5 Sm 3.68-3.72, 6 Pm 3.68-3.78, 1 Ca 3.69
Pm1 0.3908 0.1877 0.1244  4 Sm 3.55-3.68, 6 Pm 3.55-3.76, 2 Ca 3.75-3.78
Sm1 0.1292 0.7256 0.0449  5 Pm 3.55-3.73, 4 Sm 3.64-3.78, 3 Ca 3.68
Ca2 0.9485 0.0885 0.3150  5 Sm 3.68-3.72, 6 Pm 3.68-3.78, 1 Ca 3.69
Pm2 0.6092 0.8123 0.8756  4 Sm 3.55-3.68, 6 Pm 3.55-3.76, 2 Ca 3.75-3.78
Sm2 0.6866 0.6233 0.2352  4 Sm 3.55-3.78, 6 Pm 3.58-3.69, 2 Ca 3.71-3.72
Sm3 0.8708 0.2744 0.9551  5 Pm 3.55-3.73, 4 Sm 3.64-3.78, 3 Ca 3.68
Sm4 0.3134 0.3767 0.7648  4 Sm 3.55-3.78, 6 Pm 3.58-3.69, 2 Ca 3.71-3.72
Pm3 0.2285 0.5584 0.4051  5 Pm 3.55-3.76, 4 Sm 3.58-3.73, 3 Ca 3.68-3.77
Pm4 0.5000 0.0000 0.5000  4 Pm 3.61-3.67, 6 Sm 3.62-3.69, 2 Ca 3.68
Pm5 0.7715 0.4416 0.5949  5 Pm 3.55-3.76, 4 Sm 3.58-3.73, 3 Ca 3.68-3.77

Computed properties:
Formation energy from the elements   5 kJ/mol of atoms
M_tot   0.000 μB per atom
N(E_F)   1.459 states/eV per atom

Record 4
Here is a relaxed CaPm6Sm4 crystal from Alexandria via LeMat-Bulk. Energies are from PBE-GGA.

Cell: 10.0385 10.0385 10.0385 Å, 55.92 141.28 141.28°
Last column: nearest neighbours and their distance in Å.
Sites, in units of the cell vectors:
Pm1 0.3451 0.5420 0.5420  3 Pm 3.25-3.38, 3 Sm 3.37-3.48
Pm2 0.5000 0.0000 0.5000  2 Ca 3.33, 4 Pm 3.38
Pm3 0.0000 0.8031 0.4580  3 Pm 3.25-3.38, 3 Sm 3.37-3.48
Pm4 0.0000 0.4580 0.8031  3 Pm 3.25-3.38, 3 Sm 3.37-3.48
Sm1 0.6276 0.9931 0.9931  5 Pm 3.37-3.65, 1 Sm 3.51, 1 Ca 3.63
Pm5 0.5000 0.5000 0.0000  2 Ca 3.33, 4 Pm 3.38
Ca1 0.0000 0.0000 0.0000  4 Pm 3.33, 4 Sm 3.63
Sm2 0.0000 0.0069 0.6345  5 Pm 3.37-3.65, 1 Sm 3.51, 1 Ca 3.63
Sm3 0.0000 0.6345 0.0069  5 Pm 3.37-3.65, 1 Sm 3.51, 1 Ca 3.63
Pm6 0.6549 0.1969 0.1969  3 Pm 3.25-3.38, 3 Sm 3.37-3.48
Sm4 0.3724 0.3655 0.3655  5 Pm 3.37-3.65, 1 Sm 3.51, 1 Ca 3.63

Computed properties:
Formation energy from the elements   31 kJ/mol of atoms
M_tot   0.000 μB per atom
N(E_F)   1.536 states/eV per atom

Record 5
Here is a relaxed CaPmSm crystal from Alexandria via LeMat-Bulk. Energies are from PBE-GGA.

Cell: 3.6474 3.7027 16.4979 Å, 90.01 96.35 90.00°
Last column: nearest neighbours and their distance in Å.
Sites, in units of the cell vectors:
Ca1 0.9495 0.7500 0.8989  6 Ca 3.65-3.80, 4 Sm 3.79
Sm1 0.6346 0.7496 0.2692  4 Pm 3.58, 4 Sm 3.65-3.70, 4 Ca 3.79
Ca2 0.0505 0.2500 0.1011  6 Ca 3.65-3.80, 4 Sm 3.79
Sm2 0.3654 0.2504 0.7308  4 Pm 3.58, 4 Sm 3.65-3.70, 4 Ca 3.79
Pm1 0.7902 0.7503 0.5804  4 Sm 3.58, 8 Pm 3.65-3.70
Pm2 0.2098 0.2497 0.4196  4 Sm 3.58, 8 Pm 3.65-3.70

Computed properties:
Formation energy from the elements   6 kJ/mol of atoms
M_tot   0.000 μB per atom
N(E_F)   1.392 states/eV per atom

Record 6
Here is a relaxed CaPm4Sm7 crystal from Alexandria via LeMat-Bulk. Energies are from PBE-GGA.

Cell: 6.1187 11.7321 6.8571 Å, 83.40 63.50 74.88°
Last column: nearest neighbours and their distance in Å.
Sites, in units of the cell vectors:
Ca1 0.0000 0.0000 0.0000  4 Sm 3.06-3.25
Pm1 0.7552 0.6789 0.8107  5 Sm 3.32-3.69
Sm1 0.3690 0.5006 0.7615  2 Sm 3.21-3.37, 3 Pm 3.32-3.53
Sm2 0.5000 0.0000 0.0000  2 Ca 3.06, 2 Sm 3.13
Pm2 0.2448 0.3211 0.1893  5 Sm 3.32-3.69
Sm3 0.2160 0.0776 0.4905  2 Sm 3.13-3.37, 1 Ca 3.25, 4 Pm 3.32-3.48
Sm4 0.0588 0.6723 0.2102  4 Sm 3.37-3.64, 3 Pm 3.69-3.72
Sm5 0.7840 0.9224 0.5095  2 Sm 3.13-3.37, 1 Ca 3.25, 4 Pm 3.32-3.48
Pm3 0.6371 0.2232 0.5027  7 Sm 3.41-3.72, 2 Pm 3.78
Sm6 0.6310 0.4994 0.2385  2 Sm 3.21-3.37, 3 Pm 3.32-3.53
Sm7 0.9412 0.3277 0.7898  4 Sm 3.37-3.64, 3 Pm 3.69-3.72
Pm4 0.3629 0.7768 0.4973  7 Sm 3.41-3.72, 2 Pm 3.78

Computed properties:
Formation energy from the elements   26 kJ/mol of atoms
M_tot   0.000 μB per atom
N(E_F)   1.551 states/eV per atom